Record 1
Here is a relaxed structure of Th3Ir8Au from Alexandria. Energies are from PBE.

## Properties
Volume   18.71 Å³ per atom
Uncorrected energy   -8.67 eV/atom
Formation enthalpy at 0 K   -7.6 eV per formula unit
Total moment   0.00 μB/cell

Cell: 9.392 9.392 9.392 Å, 33.48 33.48 33.48°
Positions (direct):
Th 0.000 0.000 0.000
Th 0.130 0.130 0.130
Th 0.613 0.613 0.613
Ir 0.060 0.060 0.564
Ir 0.060 0.564 0.060
Ir 0.061 0.560 0.560
Ir 0.311 0.311 0.311
Ir 0.560 0.061 0.560
Ir 0.560 0.560 0.061
Ir 0.564 0.060 0.060
Ir 0.811 0.811 0.811
Au 0.492 0.492 0.492

***

Record 2
Here is a relaxed structure of Th4IrAu3 from Alexandria. Energies are from PBE.

## Properties
Volume   24.76 Å³ per atom
Uncorrected energy   -6.69 eV/atom
Formation enthalpy at 0 K   -5.2 eV per formula unit
Total moment   0.00 μB/cell

Cell: 4.864 7.318 11.128 Å, 90.00 90.00 90.00°
Positions (direct):
Th 0.250 0.231 0.133
Th 0.250 0.248 0.651
Th 0.250 0.752 0.651
Th 0.250 0.769 0.133
Th 0.750 0.231 0.867
Th 0.750 0.248 0.349
Th 0.750 0.752 0.349
Th 0.750 0.769 0.867
Ir 0.250 0.000 0.902
Ir 0.750 0.000 0.098
Au 0.250 0.000 0.413
Au 0.250 0.500 0.412
Au 0.250 0.500 0.907
Au 0.750 0.000 0.587
Au 0.750 0.500 0.093
Au 0.750 0.500 0.588